[1]
In2ReHg | PBE-GGA | relaxed

Lattice parameters (Å, degrees): 3.1067 4.9959 11.5003 90.00 90.00 90.00
Sites, in units of the cell vectors:
In1 0.0000 0.0000 0.2128
In2 0.0000 0.0000 0.7872
In3 0.5000 0.5000 0.2128
In4 0.5000 0.5000 0.7872
Re1 0.0000 0.5000 0.0000
Re2 0.5000 0.0000 0.0000
Hg1 0.0000 0.5000 0.5000
Hg2 0.5000 0.0000 0.5000

## Properties
The total energy comes out at -4.013 eV/atom. Its magnetic moment is 0.0000 μB per atom. The value obtained for the formation energy is 0.54 eV/atom. Its space group is Cmmm.

[2]
HfGaSbRu2 | PBE-GGA | relaxed

Lattice parameters (Å, degrees): 4.5853 4.5853 4.8131 90.00 90.00 90.00
Sites, in units of the cell vectors:
Hf1 0.0000 0.0000 0.0000
Ga1 0.5000 0.5000 0.5000
Sb1 0.5000 0.5000 0.0000
Ru1 0.0000 0.5000 0.5000
Ru2 0.5000 0.0000 0.5000

## Properties
The total energy comes out at -6.272 eV/atom. Its magnetic moment is 0.0000 μB per atom. Its space group is P4/mmm. The calculation puts the formation energy without anion corrections at 4.3 eV per formula unit.

[3]
ZnCo2Rh | PBE-GGA | relaxed

Lattice parameters (Å, degrees): 2.9389 4.0862 8.3967 90.00 90.00 90.00
Sites, in units of the cell vectors:
Zn1 0.0000 0.0000 0.0000
Zn2 0.5000 0.5000 0.5000
Co1 0.0000 0.5000 0.2537
Co2 0.0000 0.5000 0.7463
Co3 0.5000 0.0000 0.2463
Co4 0.5000 0.0000 0.7537
Rh1 0.0000 0.0000 0.5000
Rh2 0.5000 0.5000 0.0000

## Properties
The total energy comes out at -5.722 eV/atom. Its magnetic moment is 0.9939 μB per atom. The value obtained for the formation energy is -0.01 eV/atom. Its space group is Immm.

[4]
ScRuPt2 | PBE-GGA | relaxed

Lattice parameters (Å, degrees): 2.8977 2.8977 26.8744 90.00 90.00 120.00
Sites, in units of the cell vectors:
Sc1 0.0000 0.0000 0.0000
Sc2 0.3333 0.6667 0.6667
Sc3 0.6667 0.3333 0.3333
Ru1 0.0000 0.0000 0.2521
Ru2 0.3333 0.6667 0.9188
Ru3 0.6667 0.3333 0.5854
Pt1 0.0000 0.0000 0.5038
Pt2 0.0000 0.0000 0.7482
Pt3 0.3333 0.6667 0.1705
Pt4 0.3333 0.6667 0.4149
Pt5 0.6667 0.3333 0.0816
Pt6 0.6667 0.3333 0.8371

## Properties
The total energy comes out at -7.095 eV/atom. Its magnetic moment is 0.2294 μB per atom. The value obtained for the formation energy is -0.17 eV/atom. Its space group is R3m.

Copy entry 2 word for word.
HfGaSbRu2 | PBE-GGA | relaxed

Lattice parameters (Å, degrees): 4.5853 4.5853 4.8131 90.00 90.00 90.00
Sites, in units of the cell vectors:
Hf1 0.0000 0.0000 0.0000
Ga1 0.5000 0.5000 0.5000
Sb1 0.5000 0.5000 0.0000
Ru1 0.0000 0.5000 0.5000
Ru2 0.5000 0.0000 0.5000

## Properties
The total energy comes out at -6.272 eV/atom. Its magnetic moment is 0.0000 μB per atom. Its space group is P4/mmm. The calculation puts the formation energy without anion corrections at 4.3 eV per formula unit.

magnetic moment of number 1 (In2ReHg)? 0.0000 μB per atom

Which formula does entry 3 have? ZnCo2Rh